DFT (GGA+U) results for an optimized crystal structure of Ca2CoSi4NiO12.

Total energy   -144.2 eV per cell

POSCAR file:
```
Ca2CoSi4NiO12
1.0
4.952 -4.510 0.000
4.952 4.510 0.000
-1.475 0.000 5.104
Ca Co Si Ni O
2 1 4 1 12
Cartesian
0.000 0.000 0.000
4.214 -0.839 2.552
4.214 2.684 2.552
1.348 1.001 2.657
1.398 -1.837 5.008
7.081 1.001 2.447
7.031 -1.837 0.096
4.952 1.007 0.000
3.645 2.627 0.524
0.747 -0.413 2.187
2.907 1.038 3.108
4.784 2.627 4.580
3.483 -0.425 0.365
5.522 1.038 1.996
2.361 -2.519 3.810
3.112 -2.832 1.263
4.946 -0.425 4.739
7.682 -0.413 2.917
6.068 -2.519 1.294
5.317 -2.832 3.841
```